VASP calculation (GGA-PBE) on a geometry-optimized Ti2In2Pb structure.

abc: 7.2040 7.2040 4.2859
angles: 90.00 90.00 90.00
Closest atoms and distances in Å follow each position.
Fractional coordinates of all 10 atoms:
Pb  0.0000  0.0000  0.0000  4 Ti 2.78
In  0.8439  0.3439  0.5000  6 Ti 2.98-3.03, 1 In 3.18
In  0.1561  0.6561  0.5000  6 Ti 2.98-3.03, 1 In 3.18
Ti  0.6405  0.1405  0.0000  2 Pb 2.78, 1 Ti 2.86, 6 In 2.98-3.03
Ti  0.1405  0.3595  0.0000  2 Pb 2.78, 1 Ti 2.86, 6 In 2.98-3.03
Ti  0.3595  0.8595  0.0000  2 Pb 2.78, 1 Ti 2.86, 6 In 2.98-3.03
In  0.6561  0.8439  0.5000  6 Ti 2.98-3.03, 1 In 3.18
Ti  0.8595  0.6405  0.0000  2 Pb 2.78, 1 Ti 2.86, 6 In 2.98-3.03
In  0.3439  0.1561  0.5000  6 Ti 2.98-3.03, 1 In 3.18
Pb  0.5000  0.5000  0.0000  4 Ti 2.78

Properties
- DOS at the Fermi energy: 1.00 states/eV/atom
- Size of the total moment: 0.444 μB/f.u.
- Energy above the most stable polymorph in this dataset: 0.0 kJ/mol of atoms
- Energy relative to the elements: 29 meV/atom

VASP calculation (GGA-PBE) on a geometry-optimized TiIn2Pb structure.

abc: 3.3175 3.3175 10.4081
angles: 80.83 80.83 60.00
Closest atoms and distances in Å follow each position.
Fractional coordinates of all 4 atoms:
In  0.2598  0.2598  0.2206  3 Ti 2.95
Pb  0.5009  0.5009  0.4973  6 Pb 3.32, 6 In 3.42-3.48
Ti  0.6663  0.6663  0.0011  6 In 2.95-2.96
In  0.0730  0.0730  0.7810  3 Ti 2.96

Properties
- DOS at the Fermi energy: 1.04 states/eV/atom
- Size of the total moment: 0.001 μB/f.u.
- Energy relative to the elements: 108 meV/atom